Crystalline InTe3MoAu at its relaxed geometry. Source: OQMD via LeMat-Bulk, functional PBE.

Properties
The calculation puts the energy at -4.339 eV per atom.

Cell: 4.068 7.455 10.933 Å, 90.00 90.00 74.17°
Site moments in Bohr magnetons follow the coordinates.
Atoms (fractional coordinates):
In  0.229  0.541  0.750  0.00
In  0.771  0.459  0.250  0.00
Mo  0.000  0.000  0.500  2.02
Mo  0.000  0.000  0.000  2.07
Te  0.637  0.727  0.980  -0.04
Te  0.927  0.145  0.750  -0.08
Te  0.073  0.855  0.250  -0.08
Te  0.637  0.727  0.520  -0.04
Te  0.363  0.273  0.020  -0.04
Te  0.363  0.273  0.480  -0.04
Au  0.563  0.873  0.750  0.02
Au  0.437  0.127  0.250  0.02

=====

Crystalline Tl8Ni at its relaxed geometry. Source: OQMD via LeMat-Bulk, functional PBE.

Properties
The calculation puts the energy at -2.371 eV per atom.

Cell: 10.661 10.661 3.209 Å, 90.00 90.00 120.00°
Site moments in Bohr magnetons follow the coordinates.
Atoms (fractional coordinates):
Tl  0.678  0.839  0.000  0.00
Tl  0.161  0.322  0.000  0.00
Tl  0.161  0.839  0.000  0.00
Tl  0.839  0.678  0.000  0.00
Tl  0.333  0.667  0.000  0.00
Tl  0.839  0.161  0.000  0.00
Tl  0.322  0.161  0.000  0.00
Tl  0.667  0.333  0.000  0.00
Ni  0.000  0.000  0.500  -0.14

=====

Crystalline ErScAg2O4 at its relaxed geometry. Source: OQMD via LeMat-Bulk, functional PBE.

Properties
The calculation puts the energy at -6.811 eV per atom.

Cell: 3.309 3.309 12.501 Å, 90.00 90.00 120.00°
Atoms (fractional coordinates):
O  0.333  0.667  0.079
O  0.333  0.667  0.411
O  0.667  0.333  0.921
O  0.667  0.333  0.589
Ag  0.333  0.667  0.245
Ag  0.667  0.333  0.755
Er  0.000  0.000  0.500
Sc  0.000  0.000  0.000

=====

Crystalline Nd4TmTl5 at its relaxed geometry. Source: OQMD via LeMat-Bulk, functional PBE.

Properties
The calculation puts the energy at -3.909 eV per atom.

Cell: 3.801 3.801 19.935 Å, 90.00 90.00 90.00°
Atoms (fractional coordinates):
Tl  0.500  0.500  0.295
Tl  0.500  0.500  0.090
Tl  0.500  0.500  0.705
Tl  0.500  0.500  0.910
Tl  0.500  0.500  0.500
Nd  0.000  0.000  0.398
Nd  0.000  0.000  0.602
Nd  0.000  0.000  0.807
Nd  0.000  0.000  0.193
Tm  0.000  0.000  0.000

=====

Crystalline NbHgW2 at its relaxed geometry. Source: OQMD via LeMat-Bulk, functional PBE.

Properties
The calculation puts the energy at -8.494 eV per atom. As for the energy of formation: 0.584 eV per atom.

Cell: 4.635 4.635 4.635 Å, 60.00 60.00 60.00°
Atoms (fractional coordinates):
W  0.000  0.000  0.000
W  0.250  0.250  0.250
Nb  0.750  0.750  0.750
Hg  0.500  0.500  0.500

=====

Crystalline ErCo2SiP at its relaxed geometry. Source: OQMD via LeMat-Bulk, functional PBE.

Properties
The calculation puts the energy at -6.874 eV per atom.

Cell: 5.468 5.468 5.468 Å, 139.08 139.08 59.25°
Site moments in Bohr magnetons follow the coordinates.
Atoms (fractional coordinates):
Si  0.376  0.376  0.000  -0.01
Er  0.003  0.003  0.000  0.01
P  0.626  0.626  0.000  0.01
Co  0.248  0.748  0.500  0.24
Co  0.748  0.248  0.500  0.24

=====

Crystalline Zr4Ta2Au3C3 at its relaxed geometry. Source: OQMD via LeMat-Bulk, functional PBE.

Properties
The calculation puts the energy at -8.559 eV per atom.

Cell: 5.691 5.691 14.474 Å, 101.45 101.45 59.97°
Atoms (fractional coordinates):
C  0.000  0.500  0.500
C  0.339  0.822  0.500
C  0.822  0.339  0.000
C  0.500  0.000  0.000
C  0.661  0.178  0.500
C  0.178  0.661  0.000
Zr  0.962  0.807  0.405
Zr  0.872  0.698  0.095
Zr  0.302  0.128  0.405
Zr  0.038  0.193  0.595
Zr  0.128  0.302  0.905
Zr  0.698  0.872  0.595
Zr  0.193  0.038  0.095
Zr  0.807  0.962  0.905
Au  0.286  0.417  0.251
Au  0.119  0.881  0.750
Au  0.417  0.286  0.751
Au  0.583  0.714  0.249
Au  0.714  0.583  0.749
Au  0.881  0.119  0.250
Ta  0.526  0.353  0.078
Ta  0.353  0.526  0.578
Ta  0.474  0.647  0.922
Ta  0.647  0.474  0.422

=====

Crystalline NaTaCu at its relaxed geometry. Source: OQMD via LeMat-Bulk, functional PBE.

Properties
The calculation puts the energy at -4.403 eV per atom.

Cell: 4.327 4.327 4.327 Å, 60.00 60.00 60.00°
Atoms (fractional coordinates):
Cu  0.000  0.000  0.000
Ta  0.750  0.750  0.750
Na  0.250  0.250  0.250